# Tm8CoAu2

A geometry-optimized Tm8CoAu2 structure (PBE, the Alexandria database).

Structure (CIF):
```
data_Tm8CoAu2
_chemical_formula_sum 'Tm8 Co1 Au2'
_cell_length_a 8.890
_cell_length_b 8.890
_cell_length_c 6.667
_cell_angle_alpha 106.38
_cell_angle_beta 106.38
_cell_angle_gamma 33.13
_symmetry_space_group_name_H-M 'P 1'
_symmetry_Int_Tables_number 1
loop_
_symmetry_equiv_pos_as_xyz
'x,y,z'
loop_
_atom_site_label
_atom_site_fract_x
_atom_site_fract_y
_atom_site_fract_z
Tm1 0.028 0.028 0.291
Tm2 0.202 0.202 0.807
Tm3 0.342 0.342 0.536
Tm4 0.410 0.410 0.071
Tm5 0.590 0.590 0.929
Tm6 0.658 0.658 0.464
Tm7 0.798 0.798 0.193
Tm8 0.972 0.972 0.709
Co1 0.500 0.500 0.500
Au1 0.186 0.186 0.218
Au2 0.814 0.814 0.782
```

Calculated values
Total moment in μB per formula unit: 0.00
Energy of formation from the pure elements in meV per atom: -379
Calculated total energy in eV per atom: -4.872

---

# Tm3CoAu

A geometry-optimized Tm3CoAu structure (PBE, the Alexandria database).

Structure (CIF):
```
data_Tm3CoAu
_chemical_formula_sum 'Tm6 Co2 Au2'
_cell_length_a 4.161
_cell_length_b 6.626
_cell_length_c 8.575
_cell_angle_alpha 90.00
_cell_angle_beta 90.00
_cell_angle_gamma 90.00
_symmetry_space_group_name_H-M 'P 1'
_symmetry_Int_Tables_number 1
loop_
_symmetry_equiv_pos_as_xyz
'x,y,z'
loop_
_atom_site_label
_atom_site_fract_x
_atom_site_fract_y
_atom_site_fract_z
Tm1 0.250 0.003 0.155
Tm2 0.250 0.250 0.569
Tm3 0.250 0.497 0.155
Tm4 0.750 0.503 0.845
Tm5 0.750 0.750 0.431
Tm6 0.750 0.997 0.845
Co1 0.250 0.250 0.887
Co2 0.750 0.750 0.113
Au1 0.250 0.750 0.668
Au2 0.750 0.250 0.332
```

Calculated values
Total moment in μB per formula unit: 0.00
Energy of formation from the pure elements in meV per atom: -418
Calculated total energy in eV per atom: -5.178

---

# Tm5Co4Au

A geometry-optimized Tm5Co4Au structure (PBE, the Alexandria database).

Structure (CIF):
```
data_Tm5Co4Au
_chemical_formula_sum 'Tm5 Co4 Au1'
_cell_length_a 3.308
_cell_length_b 3.308
_cell_length_c 17.084
_cell_angle_alpha 90.00
_cell_angle_beta 90.00
_cell_angle_gamma 90.00
_symmetry_space_group_name_H-M 'P 1'
_symmetry_Int_Tables_number 1
loop_
_symmetry_equiv_pos_as_xyz
'x,y,z'
loop_
_atom_site_label
_atom_site_fract_x
_atom_site_fract_y
_atom_site_fract_z
Tm1 0.000 0.000 0.000
Tm2 0.000 0.000 0.191
Tm3 0.000 0.000 0.383
Tm4 0.000 0.000 0.617
Tm5 0.000 0.000 0.809
Co1 0.500 0.500 0.096
Co2 0.500 0.500 0.290
Co3 0.500 0.500 0.710
Co4 0.500 0.500 0.904
Au1 0.500 0.500 0.500
```

Calculated values
Total moment in μB per formula unit: 1.37
Energy of formation from the pure elements in meV per atom: -353
Calculated total energy in eV per atom: -5.759